Record 1
# GGA-PBE LiSb2Rh, relaxed
# V	80	Å³ per cell
# formation energy from raw total energies	-0.35	eV/atom
# distance to the lowest polymorph of the same formula	0.0	kJ per mole of atoms
data_LiSb2Rh
_cell_length_a 3.249
_cell_length_b 3.231
_cell_length_c 7.615
_cell_angle_alpha 90.00
_cell_angle_beta 90.85
_cell_angle_gamma 90.00
_space_group_name_H-M_alt 'P 1 2/m 1'
_space_group_IT_number 10
_space_group_name_Hall '-P 2y'
loop_
_atom_site_label
_atom_site_fract_x
_atom_site_fract_y
_atom_site_fract_z
Li1 0.000 0.000 0.000
Sb1 0.493 0.500 0.280
Rh1 0.000 0.000 0.500

***

Record 2
# GGA-PBE Pr2Al3ZnGa4, relaxed
# V	203	Å³ per cell
# formation enthalpy at 0 K	-4.2	eV/f.u.
data_Pr2Al3ZnGa4
_cell_length_a 4.369
_cell_length_b 4.369
_cell_length_c 10.638
_cell_angle_alpha 90.00
_cell_angle_beta 90.00
_cell_angle_gamma 90.00
_space_group_name_H-M_alt 'P -4 m 2'
_space_group_IT_number 115
_space_group_name_Hall 'P -4 -2'
loop_
_atom_site_label
_atom_site_fract_x
_atom_site_fract_y
_atom_site_fract_z
Pr1 0.000 0.500 0.247
Al1 0.000 0.500 0.868
Al2 0.500 0.500 0.500
Zn1 0.000 0.000 0.500
Ga1 0.000 0.000 0.000
Ga2 0.000 0.500 0.634
Ga3 0.500 0.500 0.000

***

Record 3
# GGA-PBE Li3YGa2, relaxed
# V	453	Å³ per cell
# formation enthalpy at 0 K	-2.1	eV/f.u.
data_Li3YGa2
_cell_length_a 13.488
_cell_length_b 4.489
_cell_length_c 8.542
_cell_angle_alpha 90.00
_cell_angle_beta 118.90
_cell_angle_gamma 90.00
_space_group_name_H-M_alt 'C 1 2/m 1'
_space_group_IT_number 12
_space_group_name_Hall '-C 2y'
loop_
_atom_site_label
_atom_site_fract_x
_atom_site_fract_y
_atom_site_fract_z
Li1 0.056 0.000 0.379
Li2 0.090 0.500 0.693
Li3 0.210 0.500 0.527
Y1 0.139 0.000 0.021
Ga1 0.056 0.500 0.178
Ga2 0.217 0.000 0.737

***

Question: V of number 3 (Li3YGa2)?
Answer: 453 Å³ per cell